No. 1
First-principles (GGA-PBE) data for a relaxed structure of NaCaIn14, as listed in the Alexandria database. Values from VASP.

Output
E_form = -0.0767 eV per atom
space-group type = Cmmm, No. 65
E = -2.680 eV per atom

Cell and atoms, written as Quantum ESPRESSO input:
```
&SYSTEM
  ibrav = 0, nat = 16, ntyp = 3
/
ATOMIC_SPECIES
In 114.82 In.upf
Ca 40.08 Ca.upf
Na 22.99 Na.upf
CELL_PARAMETERS angstrom
6.769 0.217 0.000
0.246 6.768 0.000
0.000 0.000 9.367
ATOMIC_POSITIONS angstrom
In 4.251 0.992 2.284
In 0.877 0.873 7.052
In 2.754 6.004 0.000
In 6.015 2.728 4.683
In 1.010 4.247 2.284
In 1.010 4.247 7.083
In 4.384 4.366 2.315
In 4.251 0.992 7.083
In 6.015 2.728 0.000
In 2.754 6.004 4.683
In 0.877 0.873 2.315
In 6.138 6.112 0.000
In 2.631 2.620 0.000
In 4.384 4.366 7.052
Ca 6.138 6.112 4.683
Na 2.631 2.620 4.683
```

***

No. 2
First-principles (GGA-PBE) data for a relaxed structure of Cs3Sc2InTe6, as listed in the Alexandria database. Values from VASP.

Output
space-group type = C2/m, No. 12
E = -4.074 eV per atom
uncorrected formation energy = -1.006 eV per atom

Cell and atoms, written as Quantum ESPRESSO input:
```
&SYSTEM
  ibrav = 0, nat = 12, ntyp = 4
/
ATOMIC_SPECIES
Cs 132.91 Cs.upf
Te 127.60 Te.upf
In 114.82 In.upf
Sc 44.96 Sc.upf
CELL_PARAMETERS angstrom
-4.922 1.682 5.627
7.025 -2.553 1.688
2.293 8.614 -2.305
ATOMIC_POSITIONS angstrom
Cs -1.797 5.288 3.823
Cs 2.198 3.871 2.505
Cs 6.194 2.455 1.187
Te 1.932 0.927 4.861
Te 2.923 0.642 0.596
Te 5.522 5.666 3.079
Te -1.125 2.077 1.931
Te 2.465 6.816 0.149
Te 1.474 7.101 4.414
In 0.000 0.000 0.000
Sc 3.045 -1.142 3.000
Sc -0.942 0.271 4.315
```

***

| no. | magnetization (μB per cell) |
| --- | --- |
| 1 | 0.0 |
| 2 | 0.0 |